1.
# Nb6CuN PBE-GGA optimized geometry
# space group	P-1
data_Nb6CuN
_chemical_formula_sum 'Nb6 Cu1 N1'
_cell_length_a 5.622
_cell_length_b 5.631
_cell_length_c 5.897
_cell_angle_alpha 61.46
_cell_angle_beta 61.73
_cell_angle_gamma 59.89
_symmetry_space_group_name_H-M 'P 1'
_symmetry_Int_Tables_number 1
loop_
_symmetry_equiv_pos_as_xyz
'x,y,z'
loop_
_atom_site_label
_atom_site_type_symbol
_atom_site_fract_x
_atom_site_fract_y
_atom_site_fract_z
Nb1 Nb 0.016 0.429 0.760
Nb2 Nb 0.794 0.013 0.762
Nb3 Nb 0.573 0.205 0.240
Nb4 Nb 0.206 0.987 0.238
Nb5 Nb 0.984 0.571 0.240
Nb6 Nb 0.427 0.795 0.760
Cu1 Cu 0.500 0.500 0.500
N1 N 0.000 0.000 0.000



2.
# Nb3CuN PBE-GGA optimized geometry
# space group	Pm-3m
data_Nb3CuN
_chemical_formula_sum 'Nb3 Cu1 N1'
_cell_length_a 4.228
_cell_length_b 4.228
_cell_length_c 4.228
_cell_angle_alpha 90.00
_cell_angle_beta 90.00
_cell_angle_gamma 90.00
_symmetry_space_group_name_H-M 'P 1'
_symmetry_Int_Tables_number 1
loop_
_symmetry_equiv_pos_as_xyz
'x,y,z'
loop_
_atom_site_label
_atom_site_type_symbol
_atom_site_fract_x
_atom_site_fract_y
_atom_site_fract_z
Nb1 Nb 0.000 0.500 0.000
Nb2 Nb 0.000 0.000 0.500
Nb3 Nb 0.500 0.000 0.000
Cu1 Cu 0.500 0.500 0.500
N1 N 0.000 0.000 0.000



3.
# NbCuN3 PBE-GGA optimized geometry
# space group	Pm-3m
data_NbCuN3
_chemical_formula_sum 'Nb1 Cu1 N3'
_cell_length_a 4.054
_cell_length_b 4.054
_cell_length_c 4.054
_cell_angle_alpha 90.00
_cell_angle_beta 90.00
_cell_angle_gamma 90.00
_symmetry_space_group_name_H-M 'P 1'
_symmetry_Int_Tables_number 1
loop_
_symmetry_equiv_pos_as_xyz
'x,y,z'
loop_
_atom_site_label
_atom_site_type_symbol
_atom_site_fract_x
_atom_site_fract_y
_atom_site_fract_z
Nb1 Nb 0.000 0.000 0.000
Cu1 Cu 0.500 0.500 0.500
N1 N 0.000 0.500 0.000
N2 N 0.000 0.000 0.500
N3 N 0.500 0.000 0.000



4.
# NbCuN3 PBE-GGA optimized geometry
# space group	Pm-3m
data_NbCuN3
_chemical_formula_sum 'Nb1 Cu1 N3'
_cell_length_a 3.650
_cell_length_b 3.650
_cell_length_c 3.650
_cell_angle_alpha 90.00
_cell_angle_beta 90.00
_cell_angle_gamma 90.00
_symmetry_space_group_name_H-M 'P 1'
_symmetry_Int_Tables_number 1
loop_
_symmetry_equiv_pos_as_xyz
'x,y,z'
loop_
_atom_site_label
_atom_site_type_symbol
_atom_site_fract_x
_atom_site_fract_y
_atom_site_fract_z
Nb1 Nb 0.500 0.500 0.500
Cu1 Cu 0.000 0.000 0.000
N1 N 0.000 0.500 0.000
N2 N 0.000 0.000 0.500
N3 N 0.500 0.000 0.000



5.
# Nb2CuN PBE-GGA optimized geometry
# space group	R-3m
data_Nb2CuN
_chemical_formula_sum 'Nb2 Cu1 N1'
_cell_length_a 2.911
_cell_length_b 2.911
_cell_length_c 8.343
_cell_angle_alpha 79.95
_cell_angle_beta 79.95
_cell_angle_gamma 60.00
_symmetry_space_group_name_H-M 'P 1'
_symmetry_Int_Tables_number 1
loop_
_symmetry_equiv_pos_as_xyz
'x,y,z'
loop_
_atom_site_label
_atom_site_type_symbol
_atom_site_fract_x
_atom_site_fract_y
_atom_site_fract_z
Nb1 Nb 0.110 0.110 0.671
Nb2 Nb 0.890 0.890 0.329
Cu1 Cu 0.000 0.000 0.000
N1 N 0.500 0.500 0.500



6.
# NbCuNO2 PBE-GGA optimized geometry
# space group	P4/mmm
data_NbCuNO2
_chemical_formula_sum 'Nb1 Cu1 N1 O2'
_cell_length_a 3.960
_cell_length_b 3.960
_cell_length_c 4.134
_cell_angle_alpha 90.00
_cell_angle_beta 90.00
_cell_angle_gamma 90.00
_symmetry_space_group_name_H-M 'P 1'
_symmetry_Int_Tables_number 1
loop_
_symmetry_equiv_pos_as_xyz
'x,y,z'
loop_
_atom_site_label
_atom_site_type_symbol
_atom_site_fract_x
_atom_site_fract_y
_atom_site_fract_z
Nb1 Nb 0.000 0.000 0.000
O1 O 0.000 0.500 0.000
O2 O 0.500 0.000 0.000
Cu1 Cu 0.500 0.500 0.500
N1 N 0.000 0.000 0.500



VASP energy
In order: -9.05, -8.87, -6.84, -6.65, -8.11, -7.15
Unit: eV per atom
Formation energy (no corrections)
In order: 5.1, -33.2, 95.4, 113.8, 3.4, -64.2
Unit: kJ/mol of atoms